# HgAuSe2, optimized geometry, DFT PBE-GGA
data_HgAuSe2
_symmetry_space_group_name_H-M 'P 1'
_symmetry_Int_Tables_number 1
_cell_length_a 2.876
_cell_length_b 2.876
_cell_length_c 11.231
_cell_angle_alpha 90.00
_cell_angle_beta 90.00
_cell_angle_gamma 90.00
loop_
_symmetry_equiv_pos_as_xyz
'x,y,z'
loop_
_atom_site_label
_atom_site_type_symbol
_atom_site_fract_x
_atom_site_fract_y
_atom_site_fract_z
_atom_site_occupancy
Hg1 Hg 0.000 0.000 0.000 1
Au1 Au 0.000 0.000 0.500 1
Se1 Se 0.500 0.500 0.291 1
Se2 Se 0.500 0.500 0.709 1
# formation energy (no corrections) = 1.14 eV per formula unit
# V = 92.88 Å³/cell
# total magnetic moment = 0.00 μB per cell